# 1
## ZrSe2NF (PBE)

Data for a geometry-optimized ZrSe2NF structure.

## Properties
E = -25.60 eV per formula unit
Raw formation energy = 0.0231 eV per atom
E above lowest polymorph = 0.0 meV per atom

abc: 5.2673 5.2673 4.1963
angles: 90.00 90.00 90.00
Site moments in Bohr magnetons follow the coordinates.
Fractional coordinates of all 5 atoms:
Se 0.0000 0.5000 0.0000  0.50
N 0.0000 0.0000 0.5000  0.69
Zr 0.0000 0.0000 0.0000  -0.11
F 0.5000 0.5000 0.5000  0.32
Se 0.5000 0.0000 0.0000  0.50



# 2
## LaNd4Sm (PBE)

Data for a geometry-optimized LaNd4Sm structure.

## Properties
Formation energy from the elements = 0.2393 eV per atom
E = -27.28 eV per formula unit
E above lowest polymorph = 35.8 meV per atom

abc: 6.7521 6.7521 6.7521
angles: 60.00 60.00 60.00
Fractional coordinates of all 6 atoms:
Nd 0.6256 0.6256 0.1232
Nd 0.6256 0.6256 0.6256
Sm 0.0000 0.0000 0.0000
La 0.2500 0.2500 0.2500
Nd 0.1232 0.6256 0.6256
Nd 0.6256 0.1232 0.6256



# 3
## MoPbCl2 (PBE)

Data for a geometry-optimized MoPbCl2 structure.

## Properties
E = -18.82 eV per formula unit
Raw formation energy = -0.1459 eV per atom
E above lowest polymorph = 68.9 meV per atom

abc: 7.0455 7.0455 5.4363
angles: 67.33 67.33 25.88
Site moments in Bohr magnetons follow the coordinates.
Fractional coordinates of all 4 atoms:
Pb 0.2500 0.2500 0.2500  -0.06
Mo 0.7500 0.7500 0.7500  1.61
Cl 0.4044 0.4044 0.5958  0.02
Cl 0.0956 0.0956 0.9042  0.02



# 4
## PmCo3Ge2 (PBE)

Data for a geometry-optimized PmCo3Ge2 structure.

## Properties
Formation energy from the elements = -0.4464 eV per atom
E = -37.98 eV per formula unit
E above lowest polymorph = 0.0 meV per atom

abc: 3.6461 5.3495 5.3495
angles: 120.00 90.00 90.00
Fractional coordinates of all 6 atoms:
Co 0.0547 0.0000 0.5000
Co 0.0547 0.5000 0.5000
Pm 0.5567 0.0000 0.0000
Co 0.0547 0.5000 0.0000
Ge 0.5546 0.3333 0.6667
Ge 0.5546 0.6667 0.3333



# 5
## PrBiSbPb (PBE)

Data for a geometry-optimized PrBiSbPb structure.

## Properties
E = -17.89 eV per formula unit
Raw formation energy = -0.3488 eV per atom

abc: 5.6226 5.6226 5.6226
angles: 60.00 60.00 60.00
Fractional coordinates of all 4 atoms:
Pb 0.7500 0.7500 0.7500
Pr 0.2500 0.2500 0.2500
Bi 0.0000 0.0000 0.0000
Sb 0.5000 0.5000 0.5000



# 6
## Fe3Br (PBE)

Data for a geometry-optimized Fe3Br structure.

## Properties
E = -24.14 eV per formula unit
Raw formation energy = 0.7304 eV per atom
E above lowest polymorph = 346.8 meV per atom

abc: 4.8765 4.8765 4.8765
angles: 135.09 135.09 65.39
Site moments in Bohr magnetons follow the coordinates.
Fractional coordinates of all 4 atoms:
Br 0.0000 0.0000 0.0000  0.12
Fe 0.2500 0.7500 0.5000  2.80
Fe 0.5000 0.5000 0.0000  2.78
Fe 0.7500 0.2500 0.5000  2.80



# 7
## GaCoAu (PBE)

Data for a geometry-optimized GaCoAu structure.

## Properties
Formation energy from the elements = -0.0301 eV per atom
E = -13.50 eV per formula unit
E above lowest polymorph = 0.0 meV per atom

abc: 2.9916 2.9916 10.4017
angles: 98.27 98.27 90.00
Site moments in Bohr magnetons follow the coordinates.
Fractional coordinates of all 6 atoms:
Au 0.4334 0.4334 0.8667  0.01
Co 0.7151 0.7151 0.4303  1.26
Co 0.2849 0.2849 0.5697  1.26
Au 0.5666 0.5666 0.1333  0.01
Ga 0.1537 0.1537 0.3075  -0.03
Ga 0.8463 0.8463 0.6925  -0.03



# 8
## SrFeRu (PBE)

Data for a geometry-optimized SrFeRu structure.

## Properties
Formation energy from the elements = 0.3811 eV per atom
E = -18.28 eV per formula unit
E above lowest polymorph = 98.2 meV per atom

abc: 4.1986 5.1234 5.6697
angles: 101.91 90.00 90.00
Fractional coordinates of all 6 atoms:
Fe 0.7820 0.2372 0.8869
Fe 0.2820 0.0959 0.9968
Sr 0.7820 0.4117 0.3873
Sr 0.2820 0.9215 0.4964
Ru 0.7820 0.8026 0.9812
Ru 0.2820 0.5305 0.9025



The evaluated spin magnetization for the records listed, in turn: 0.5565 0.0002 0.4505 0.0000 0.0000 2.1386 0.4103 0.0002 μB/atom.